Arrangement P

A plane-wave DFT calculation with PBE-GGA was carried out for CaPtRh3 after structural relaxation.

Output
- magnetic moment (μB per formula unit) = 2.86
- mass density (g cm⁻³) = 8.95

```
CaPtRh3
1.0
4.6550 0.0000 0.0000
0.0000 4.6550 0.0000
0.0000 0.0000 4.6550
Rh Ca Pt
3 1 1
Direct
0.0000 0.5000 0.0000
0.5000 0.0000 0.0000
0.0000 0.0000 0.5000
0.0000 0.0000 0.0000
0.5000 0.5000 0.5000
```


Arrangement Q

A plane-wave DFT calculation with PBE-GGA was carried out for CaPtRh3 after structural relaxation.

Output
- magnetic moment (μB per formula unit) = 2.20
- mass density (g cm⁻³) = 7.94

```
CaPtRh3
1.0
-1.5356 -2.3534 3.9458
4.5944 -0.7939 1.3145
0.0080 4.1590 2.4837
Ca Pt Rh
1 1 3
Direct
0.5000 0.5000 0.5000
0.0000 0.0000 0.0000
0.0000 0.5000 0.0000
0.5000 0.0000 0.0000
0.0000 0.0000 0.5000
```


Which structure is the least stable? The one labeled arrangement P.


Arrangement P

A plane-wave DFT calculation with PBE-GGA was carried out for CaPt2Rh2 after structural relaxation.

Output
- magnetic moment (μB per formula unit) = 0.00
- mass density (g cm⁻³) = 11.25

```
CaPt2Rh2
1.0
-2.2251 -2.3608 2.4493
3.2222 -0.5244 2.4219
-1.0264 3.1260 5.4536
Pt Ca Rh
2 1 2
Direct
0.2500 0.7500 0.5000
0.7500 0.2500 0.5000
0.0000 0.0000 0.0000
0.6026 0.6026 0.7948
0.3974 0.3974 0.2052
```


Arrangement Q

A plane-wave DFT calculation with PBE-GGA was carried out for CaPt2Rh2 after structural relaxation.

Output
- magnetic moment (μB per formula unit) = 0.00
- mass density (g cm⁻³) = 12.27

```
CaPt2Rh2
1.0
7.7694 0.0000 0.0000
0.0000 7.7694 0.0000
0.0000 0.0000 2.8510
Rh Pt Ca
4 4 2
Direct
0.3237 0.1763 0.5000
0.8237 0.3237 0.5000
0.6763 0.8237 0.5000
0.1763 0.6763 0.5000
0.8757 0.6243 0.0000
0.3757 0.8757 0.0000
0.1243 0.3757 0.0000
0.6243 0.1243 0.0000
0.5000 0.5000 0.0000
0.0000 0.0000 0.0000
```


Which structure is the least stable? The one labeled arrangement P.


Arrangement P

A plane-wave DFT calculation with PBE-GGA was carried out for CaSmPtRh after structural relaxation.

Output
- magnetic moment (μB per formula unit) = 0.00
- mass density (g cm⁻³) = 9.46

```
CaSmPtRh
1.0
3.5727 0.0000 0.0000
0.0000 3.5727 0.0000
0.0000 0.0000 6.7154
Sm Rh Pt Ca
1 1 1 1
Direct
0.0000 0.0000 0.3605
0.5000 0.5000 0.5926
0.5000 0.5000 0.1173
0.0000 0.0000 0.8575
```


Arrangement Q

A plane-wave DFT calculation with PBE-GGA was carried out for CaSmPtRh after structural relaxation.

Output
- magnetic moment (μB per formula unit) = 0.00
- mass density (g cm⁻³) = 9.52

```
CaSmPtRh
1.0
-2.9085 -3.8268 1.1376
1.1691 -4.5393 -1.5574
1.5435 -3.3995 3.2341
Ca Sm Rh Pt
1 1 1 1
Direct
0.0000 0.0000 0.0000
0.5000 0.5000 0.5000
0.2500 0.2500 0.2500
0.7500 0.7500 0.7500
```


Which structure is the least stable? The one labeled arrangement Q.